DFT (PBE) results for a relaxed structure of BaLa2Cr.

Cell: 6.2855 7.0746 3.6983 Å, 77.46 84.28 114.72°
With the nearest neighbours (Å) after each atom.
Atoms (fractional coordinates):
Cr1 0.5000 0.5000 0.0000  4 Ba 3.48-3.80, 4 La 3.62, 2 Cr 3.70
La1 0.0000 0.0000 0.0000  6 La 3.48-3.80, 2 Cr 3.62, 2 Ba 3.62
La2 0.5000 0.0000 0.5000  6 La 3.48-3.80, 2 Ba 3.62, 2 Cr 3.62
Ba1 0.0000 0.5000 0.5000  4 Cr 3.48-3.80, 4 La 3.62, 2 Ba 3.70

## Properties
M_tot   4.4 μB/cell
V   35.6 Å³ per atom
Energy of formation   0.582 eV per atom
Density of states at the Fermi level   6.351 states/eV per cell